Entry from Alexandria: crystalline Sm6NiHg2 at its relaxed geometry (PBE-GGA).

The space group is P2_1/c (No. 14) and the conventional cell measures 7.140, 7.270 and 12.393 Å, with angles of 90.00, 122.68 and 90.00 degrees. The asymmetric unit holds Sm at (0.143, 0.007, 0.253), Sm at (0.248, 0.699, 0.051), Sm at (0.355, 0.208, 0.050), Ni at (0.000, 0.000, 0.000) and Hg at (0.294, 0.076, 0.760).

The electronic total energy is -4.07 eV per atom. For the magnetic moment, the calculation gives 0.000 μB/f.u. The energy relative to the lowest polymorph listed for this composition is 0.0000 eV per atom. The calculated formation energy is -0.22 eV per atom.


Entry from Alexandria: crystalline LiCo2Ir at its relaxed geometry (PBE-GGA).

The space group is Cmmm (No. 65) and the conventional cell measures 2.713, 4.411 and 8.789 Å, with angles of 90.00, 90.00 and 90.00 degrees. The asymmetric unit holds Li at (0.000, 0.000, 0.000), Co at (0.000, 0.500, 0.252) and Ir at (0.000, 0.000, 0.500).

The electronic total energy is -6.00 eV per atom. For the magnetic moment, the calculation gives 4.282 μB/f.u. The calculated formation energy is 0.25 eV per atom.


Entry from Alexandria: crystalline Sc3SnN at its relaxed geometry (PBE-GGA).

The space group is P6_3/mmc (No. 194) and the conventional cell measures 3.7253, 3.7253 and 17.1753 Å, with angles of 90.00, 90.00 and 120.00 degrees. The asymmetric unit holds Sc at (0.0000, 0.0000, 0.2500), Sc at (0.3333, 0.6667, 0.1195), Sn at (0.0000, 0.0000, 0.0000) and N at (0.3333, 0.6667, 0.2500).

The electronic total energy is -6.98 eV per atom. For the magnetic moment, the calculation gives 0.000 μB/f.u. For the formation energy without anion corrections, the calculation gives -3.58 eV/f.u.


Entry from Alexandria: crystalline YHoHf2N4 at its relaxed geometry (PBE-GGA).

The space group is P2/m (No. 10) and the conventional cell measures 5.719, 3.307 and 5.804 Å, with angles of 90.00, 109.27 and 90.00 degrees. The asymmetric unit holds Y at (0.000, 0.000, 0.000), Ho at (0.500, 0.500, 0.000), Hf at (0.000, 0.500, 0.500), Hf at (0.500, 0.000, 0.500), N at (0.243, 0.000, 0.726) and N at (0.259, 0.500, 0.275).

The electronic total energy is -9.82 eV per atom. For the magnetic moment, the calculation gives 0.000 μB/f.u. For the formation energy without anion corrections, the calculation gives -14.32 eV/f.u.


Entry from Alexandria: crystalline PmUBiO2 at its relaxed geometry (PBE-GGA).

The space group is I4mm (No. 107) and the conventional cell measures 3.978, 3.978 and 12.939 Å, with angles of 90.00, 90.00 and 90.00 degrees. The asymmetric unit holds Pm at (0.000, 0.000, 0.000), U at (0.000, 0.000, 0.313), Bi at (0.000, 0.000, 0.656) and O at (0.000, 0.500, 0.397).

The electronic total energy is -8.28 eV per atom. For the magnetic moment, the calculation gives 2.128 μB/f.u. For the formation energy without anion corrections, the calculation gives -11.58 eV/f.u.


Entry from Alexandria: crystalline LiSm4Zn2 at its relaxed geometry (PBE-GGA).

The space group is R-3m (No. 166, hexagonal axes) and the conventional cell measures 5.1324, 5.1324 and 24.7379 Å, with angles of 90.00, 90.00 and 120.00 degrees. The asymmetric unit holds Li at (0.0000, 0.0000, 0.0000), Sm at (0.0000, 0.0000, 0.1307), Sm at (0.0000, 0.0000, 0.3827) and Zn at (0.0000, 0.0000, 0.2563).

The electronic total energy is -3.40 eV per atom. For the magnetic moment, the calculation gives 0.004 μB/f.u. The energy relative to the lowest polymorph listed for this composition is 0.0000 eV per atom. The calculated formation energy is -0.06 eV per atom.


The density of states at the Fermi level results, record by record, are as follows: 1.04, 0.87, 0.90, 0.38, 1.57, 1.41 states/eV per atom.